Entry from the Alexandria database: crystalline BaCa2Ge2 at its relaxed geometry (GGA-PBE).

Values from the calculation:
Raw total energy: -3.3254 eV/atom
Space-group type: I4/mmm, No. 139
E above lowest polymorph: 262.0 meV per atom
ΔH_f (0 K): -0.29 eV per atom
Density of states at the Fermi level: 3.4 states/eV per cell
Theoretical density: 3.48 Mg/m³
Crystal system: tetragonal

a = 6.861 Å, b = 6.861 Å, c = 6.861 Å
α = 132.37°, β = 132.37°, γ = 69.65°
Positions (direct):
1 Ba 0.000 0.000 0.000
2 Ca 0.334 0.334 0.000
3 Ca 0.666 0.666 0.000
4 Ge 0.250 0.750 0.500
5 Ge 0.750 0.250 0.500

---

Entry from the Alexandria database: crystalline BaCa2Ge2 at its relaxed geometry (GGA-PBE).

Values from the calculation:
Raw total energy: -3.5874 eV/atom
Space-group type: P2_1/m, No. 11
E above lowest polymorph: 0.0 meV per atom
ΔH_f (0 K): -0.56 eV per atom
Density of states at the Fermi level: 3.1 states/eV per cell
Theoretical density: 3.85 Mg/m³
Crystal system: monoclinic

a = 5.387 Å, b = 4.698 Å, c = 12.425 Å
α = 90.00°, β = 96.00°, γ = 90.00°
Positions (direct):
1 Ba 0.185 0.250 0.247
2 Ba 0.815 0.750 0.753
3 Ca 0.249 0.750 0.495
4 Ca 0.337 0.250 0.881
5 Ca 0.663 0.750 0.119
6 Ca 0.751 0.250 0.505
7 Ge 0.140 0.750 0.015
8 Ge 0.285 0.250 0.643
9 Ge 0.715 0.750 0.357
10 Ge 0.860 0.250 0.985

---

Entry from the Alexandria database: crystalline BaCa2Ge2 at its relaxed geometry (GGA-PBE).

Values from the calculation:
Raw total energy: -3.5260 eV/atom
Space-group type: I4/mmm, No. 139
E above lowest polymorph: 61.4 meV per atom
ΔH_f (0 K): -0.49 eV per atom
Density of states at the Fermi level: 4.8 states/eV per cell
Theoretical density: 3.85 Mg/m³
Crystal system: tetragonal

a = 7.239 Å, b = 7.239 Å, c = 7.239 Å
α = 139.80°, β = 139.80°, γ = 58.15°
Positions (direct):
1 Ba 0.000 0.000 0.000
2 Ca 0.250 0.750 0.500
3 Ca 0.750 0.250 0.500
4 Ge 0.398 0.398 0.000
5 Ge 0.602 0.602 0.000

---

Entry from the Alexandria database: crystalline Ba2CaGe at its relaxed geometry (GGA-PBE).

Values from the calculation:
Raw total energy: -2.6409 eV/atom
Space-group type: R-3m, No. 166
ΔH_f (0 K): -0.02 eV per atom
Density of states at the Fermi level: 3.7 states/eV per cell
Theoretical density: 3.23 Mg/m³
Crystal system: trigonal

a = 12.670 Å, b = 12.670 Å, c = 12.670 Å
α = 19.54°, β = 19.54°, γ = 19.54°
Positions (direct):
1 Ba 0.110 0.110 0.110
2 Ba 0.890 0.890 0.890
3 Ca 0.000 0.000 0.000
4 Ge 0.500 0.500 0.500

---

Entry from the Alexandria database: crystalline Ba2Ca2Ge at its relaxed geometry (GGA-PBE).

Values from the calculation:
Raw total energy: -2.5874 eV/atom
Space-group type: P4/mbm, No. 127
ΔH_f (0 K): -0.09 eV per atom
Density of states at the Fermi level: 6.3 states/eV per cell
Theoretical density: 3.38 Mg/m³
Crystal system: tetragonal

a = 8.132 Å, b = 8.132 Å, c = 6.348 Å
α = 90.00°, β = 90.00°, γ = 90.00°
Positions (direct):
1 Ba 0.175 0.325 0.000
2 Ba 0.325 0.825 0.000
3 Ba 0.675 0.175 0.000
4 Ba 0.825 0.675 0.000
5 Ca 0.159 0.659 0.500
6 Ca 0.341 0.159 0.500
7 Ca 0.659 0.841 0.500
8 Ca 0.841 0.341 0.500
9 Ge 0.000 0.000 0.500
10 Ge 0.500 0.500 0.500

---

Entry from the Alexandria database: crystalline BaCaGe4 at its relaxed geometry (GGA-PBE).

Values from the calculation:
Raw total energy: -4.1547 eV/atom
Space-group type: Immm, No. 71
E above lowest polymorph: 8.4 meV per atom
ΔH_f (0 K): -0.42 eV per atom
Density of states at the Fermi level: 2.4 states/eV per cell
Theoretical density: 4.88 Mg/m³
Crystal system: orthorhombic

a = 6.573 Å, b = 6.573 Å, c = 6.573 Å
α = 143.48°, β = 101.95°, γ = 89.38°
Positions (direct):
1 Ba 0.000 0.000 0.000
2 Ca 0.500 0.500 0.000
3 Ge 0.110 0.771 0.338
4 Ge 0.433 0.771 0.662
5 Ge 0.567 0.229 0.338
6 Ge 0.890 0.229 0.662

---

Entry from the Alexandria database: crystalline BaCaGe at its relaxed geometry (GGA-PBE).

Values from the calculation:
Raw total energy: -3.2178 eV/atom
Space-group type: P3m1, No. 156
ΔH_f (0 K): -0.37 eV per atom
Density of states at the Fermi level: 1.0 states/eV per cell
Theoretical density: 3.68 Mg/m³
Crystal system: trigonal

a = 5.049 Å, b = 5.049 Å, c = 5.108 Å
α = 90.00°, β = 90.00°, γ = 120.00°
Positions (direct):
1 Ba 0.000 0.000 0.000
2 Ca 0.667 0.333 0.510
3 Ge 0.333 0.667 0.622

---

Entry from the Alexandria database: crystalline BaCaGe at its relaxed geometry (GGA-PBE).

Values from the calculation:
Raw total energy: -3.1828 eV/atom
Space-group type: I4mm, No. 107
ΔH_f (0 K): -0.34 eV per atom
Density of states at the Fermi level: 2.5 states/eV per cell
Theoretical density: 3.86 Mg/m³
Crystal system: tetragonal

a = 7.470 Å, b = 7.470 Å, c = 7.470 Å
α = 149.41°, β = 149.41°, γ = 43.81°
Positions (direct):
1 Ba 0.000 0.000 0.000
2 Ca 0.749 0.749 0.000
3 Ge 0.351 0.351 0.000

---

Copy entry 4 word for word.
Entry from the Alexandria database: crystalline Ba2CaGe at its relaxed geometry (GGA-PBE).

Values from the calculation:
Raw total energy: -2.6409 eV/atom
Space-group type: R-3m, No. 166
ΔH_f (0 K): -0.02 eV per atom
Density of states at the Fermi level: 3.7 states/eV per cell
Theoretical density: 3.23 Mg/m³
Crystal system: trigonal

a = 12.670 Å, b = 12.670 Å, c = 12.670 Å
α = 19.54°, β = 19.54°, γ = 19.54°
Positions (direct):
1 Ba 0.110 0.110 0.110
2 Ba 0.890 0.890 0.890
3 Ca 0.000 0.000 0.000
4 Ge 0.500 0.500 0.500

---

Q: Among the records above, which one has the highest theoretical density?
A: BaCaGe4

---

Q: Which value of ΔH_f (0 K) does entry 2 give?
A: -0.56 eV per atom

---

Q: What is the raw total energy in the first record?
A: -3.3254 eV/atom